[1]
Crystalline Ba4Sm4Zn3PtO15 at its relaxed geometry, computed with PBEsol.

```
Ba4Sm4Zn3PtO15
1.0
-1.9143 -5.8321 2.6431
10.2862 -0.9543 5.3441
-8.8550 5.3259 5.3385
O Sm Zn Ba Pt
30 8 6 8 2
Direct
0.5105 0.4979 0.7490 O
0.5105 0.2510 0.7490 O
0.6988 0.6612 0.0568 O
0.3420 0.8359 0.4179 O
0.6988 0.9432 0.3388 O
0.4373 0.0830 0.1661 O
0.0105 0.7490 0.4979 O
0.9373 0.9170 0.8339 O
0.1988 0.3388 0.3956 O
0.9373 0.9170 0.0830 O
0.9373 0.1661 0.0830 O
0.4373 0.8339 0.9170 O
0.1988 0.6044 0.9432 O
0.0105 0.5021 0.2510 O
0.8420 0.4179 0.5821 O
0.0105 0.7490 0.2510 O
0.6988 0.9432 0.6044 O
0.3420 0.5821 0.1641 O
0.1988 0.0568 0.3956 O
0.5105 0.2510 0.5021 O
0.1988 0.3388 0.9432 O
0.6988 0.6612 0.6044 O
0.1988 0.6044 0.6612 O
0.8420 0.4179 0.8359 O
0.6988 0.3956 0.0568 O
0.3420 0.5821 0.4179 O
0.4373 0.0830 0.9170 O
0.8420 0.1641 0.5821 O
0.6988 0.3956 0.3388 O
0.1988 0.0568 0.6612 O
0.9984 0.5231 0.4769 Sm
0.1690 0.0000 0.0000 Sm
0.6690 0.0000 0.0000 Sm
0.9984 0.5231 0.0461 Sm
0.4984 0.4769 0.9539 Sm
0.9984 0.9539 0.4769 Sm
0.4984 0.4769 0.5231 Sm
0.4984 0.0461 0.5231 Sm
0.3267 0.1709 0.8291 Zn
0.8267 0.8291 0.1709 Zn
0.3267 0.1709 0.3418 Zn
0.8267 0.3418 0.1709 Zn
0.3267 0.6582 0.8291 Zn
0.8267 0.8291 0.6582 Zn
0.1614 0.3333 0.6667 Ba
0.6614 0.6667 0.3333 Ba
0.8435 0.1722 0.3444 Ba
0.3435 0.8278 0.1722 Ba
0.8435 0.1722 0.8278 Ba
0.8435 0.6556 0.8278 Ba
0.3435 0.3444 0.1722 Ba
0.3435 0.8278 0.6556 Ba
0.1840 0.6667 0.3333 Pt
0.6840 0.3333 0.6667 Pt
```

The calculation puts the magnetization at 0.00 μB per formula unit. For the uncorrected formation energy, the calculation gives -241 kJ per mole of atoms.



[2]
Crystalline Na2ZrZnCl at its relaxed geometry, computed with PBEsol.

```
Na2ZrZnCl
1.0
4.8320 0.0000 0.0000
0.0000 4.8320 0.0000
0.0000 0.0000 5.0433
Na Zr Cl Zn
2 1 1 1
Direct
0.5000 0.0000 0.0000 Na
0.0000 0.5000 0.0000 Na
0.0000 0.0000 0.5000 Zr
0.0000 0.0000 0.0000 Cl
0.5000 0.5000 0.5000 Zn
```

The calculation puts the magnetization at 1.47 μB per formula unit. For the uncorrected formation energy, the calculation gives 8 kJ per mole of atoms.



[3]
Crystalline CeTiGe at its relaxed geometry, computed with PBEsol.

```
CeTiGe
1.0
-2.8591 1.5326 2.3395
-2.7963 -1.6334 -2.3473
0.1082 -6.4021 4.3262
Ge Ce Ti
2 2 2
Direct
0.0000 0.5000 0.7688 Ge
0.5000 0.0000 0.2312 Ge
0.5000 0.0000 0.6423 Ce
0.0000 0.5000 0.3577 Ce
0.0000 0.0000 0.0000 Ti
0.5000 0.5000 0.0000 Ti
```

The calculation puts the magnetization at 0.39 μB per formula unit. Its formation energy is -566 meV/atom.



[4]
Crystalline Ta3NbFe at its relaxed geometry, computed with PBEsol.

```
Ta3NbFe
1.0
4.7747 0.0000 0.0000
0.0000 4.7747 0.0000
0.0000 0.0000 4.7747
Nb Ta Fe
1 3 1
Direct
0.0000 0.0000 0.0000 Nb
0.0000 0.0000 0.5000 Ta
0.0000 0.5000 0.0000 Ta
0.5000 0.0000 0.0000 Ta
0.5000 0.5000 0.5000 Fe
```

The calculation puts the magnetization at 3.40 μB per formula unit. Its formation energy is 2057 meV/atom.



[5]
Crystalline KHg2Pt at its relaxed geometry, computed with PBEsol.

```
KHg2Pt
1.0
3.0478 0.0000 0.0000
0.0000 5.1300 0.0000
0.0000 0.0000 5.5992
Pt Hg K
1 2 1
Direct
0.0000 0.5000 0.5000 Pt
0.5000 0.0000 0.5000 Hg
0.0000 0.0000 0.0000 Hg
0.5000 0.5000 0.0000 K
```

The calculation puts the magnetization at 0.00 μB per formula unit. The energy relative to the lowest polymorph listed for this composition is 125.4 meV/atom. Its formation energy is 145 meV/atom.



[6]
Crystalline TiFe3Si at its relaxed geometry, computed with PBEsol.

```
TiFe3Si
1.0
4.0651 0.0000 0.0000
0.0000 4.0651 0.0000
0.0000 0.0000 4.0651
Fe Si Ti
3 1 1
Direct
0.0000 0.5000 0.0000 Fe
0.5000 0.0000 0.0000 Fe
0.0000 0.0000 0.5000 Fe
0.0000 0.0000 0.0000 Si
0.5000 0.5000 0.5000 Ti
```

The calculation puts the magnetization at 2.04 μB per formula unit. For the uncorrected formation energy, the calculation gives 42 kJ per mole of atoms.



[7]
Crystalline TiCSCl2 at its relaxed geometry, computed with PBEsol.

```
TiCSCl2
1.0
4.6872 0.0000 0.0000
0.0000 4.6625 0.0000
0.0000 0.0000 4.6625
S Cl C Ti
1 2 1 1
Direct
0.5000 0.0000 0.0000 S
0.0000 0.0000 0.5000 Cl
0.0000 0.5000 0.0000 Cl
0.5000 0.5000 0.5000 C
0.0000 0.0000 0.0000 Ti
```

The calculation puts the magnetization at 1.91 μB per formula unit. For the uncorrected formation energy, the calculation gives 58 kJ per mole of atoms.



[8]
Crystalline NiPtW at its relaxed geometry, computed with PBEsol.

```
NiPtW
1.0
2.6248 0.0000 0.0000
0.0000 4.2378 0.0000
0.0000 -2.1189 3.6701
W Pt Ni
1 1 1
Direct
0.5000 0.6667 0.3333 W
0.0000 0.3333 0.6667 Pt
0.0000 0.0000 0.0000 Ni
```

The calculation puts the magnetization at 0.00 μB per formula unit. The energy relative to the lowest polymorph listed for this composition is 86.6 meV/atom. Its formation energy is -166 meV/atom.



[9]
Crystalline Li2CaTa at its relaxed geometry, computed with PBEsol.

```
Li2CaTa
1.0
2.8546 0.0000 0.0000
0.0000 5.4857 0.0000
-1.4273 -2.7429 5.6575
Li Ca Ta
2 1 1
Direct
0.7310 0.7310 0.4619 Li
0.2690 0.2690 0.5381 Li
0.5000 0.0000 0.0000 Ca
0.0000 0.5000 0.0000 Ta
```

The calculation puts the magnetization at 0.70 μB per formula unit. The energy relative to the lowest polymorph listed for this composition is 119.9 meV/atom. Its formation energy is 704 meV/atom.



[10]
Crystalline LiRu2 at its relaxed geometry, computed with PBEsol.

```
LiRu2
1.0
-2.9453 2.9043 0.3790
-1.0630 -3.9677 -0.6174
-0.0956 -0.7340 4.8816
Ru Li
4 2
Direct
0.6667 0.3333 0.7500 Ru
0.0000 0.0000 0.5000 Ru
0.3333 0.6667 0.2500 Ru
0.0000 0.0000 0.0000 Ru
0.6667 0.3333 0.2500 Li
0.3333 0.6667 0.7500 Li
```

The calculation puts the magnetization at 0.01 μB per formula unit. Its formation energy is 498 meV/atom.



[11]
Crystalline KLiY at its relaxed geometry, computed with PBEsol.

```
KLiY
1.0
3.4824 0.0000 0.0000
0.0000 3.4824 0.0000
-1.7412 -1.7412 8.7002
Y Li K
1 1 1
Direct
0.3109 0.3109 0.6218 Y
0.6815 0.6815 0.3629 Li
0.0076 0.0076 0.0152 K
```

The calculation puts the magnetization at 0.24 μB per formula unit. Its formation energy is 365 meV/atom.



[12]
Crystalline FeCo at its relaxed geometry, computed with PBEsol.

```
FeCo
1.0
-0.0438 0.3576 -3.9337
3.4523 -1.9079 -0.2119
-2.7049 -4.8488 -0.4107
Co Fe
4 4
Direct
0.0000 0.0000 0.2500 Co
0.0000 0.5000 0.5000 Co
0.5000 0.0000 0.0000 Co
0.0000 0.0000 0.7500 Co
0.5000 0.0000 0.5000 Fe
0.0000 0.5000 0.0000 Fe
0.5000 0.5000 0.7500 Fe
0.5000 0.5000 0.2500 Fe
```

The calculation puts the magnetization at 4.28 μB per formula unit. Its formation energy is 41 meV/atom.



[13]
Crystalline BiP2SO at its relaxed geometry, computed with PBEsol.

```
BiP2SO
1.0
-2.1113 0.7572 -2.8123
-0.9690 -4.6271 -0.5184
-3.7265 0.4533 2.9197
P Bi O S
2 1 1 1
Direct
0.0000 0.5000 0.0000 P
0.0000 0.0000 0.5000 P
0.5000 0.5000 0.5000 Bi
0.5000 0.0000 0.0000 O
0.0000 0.0000 0.0000 S
```

The calculation puts the magnetization at 0.00 μB per formula unit. For the uncorrected formation energy, the calculation gives 23 kJ per mole of atoms.



[14]
Crystalline BaCu8P4 at its relaxed geometry, computed with PBEsol.

```
BaCu8P4
1.0
-0.6761 -3.3794 1.5777
6.5418 -2.2400 2.5585
-1.6868 1.4896 7.0210
Cu P Ba
8 4 1
Direct
0.2280 0.4333 0.1106 Cu
0.9863 0.6465 0.3808 Cu
0.7720 0.5667 0.8894 Cu
0.3671 0.6192 0.6465 Cu
0.6614 0.1106 0.5667 Cu
0.0137 0.3535 0.6192 Cu
0.3386 0.8894 0.4333 Cu
0.6329 0.3808 0.3535 Cu
0.7656 0.8099 0.6590 P
0.5754 0.6590 0.1901 P
0.4246 0.3410 0.8099 P
0.2344 0.1901 0.3410 P
0.0000 0.0000 0.0000 Ba
```

The calculation puts the magnetization at 0.00 μB per formula unit. Its formation energy is -312 meV/atom.



[15]
Crystalline SrCo2Si2 at its relaxed geometry, computed with PBEsol.

```
SrCo2Si2
1.0
-3.4655 -0.2342 -1.7630
1.7072 -1.5201 -3.1540
0.2080 -3.9427 4.4181
Co Sr Si
2 1 2
Direct
0.7500 0.2500 0.5000 Co
0.2500 0.7500 0.5000 Co
0.0000 0.0000 0.0000 Sr
0.6429 0.6429 0.2858 Si
0.3571 0.3571 0.7142 Si
```

The calculation puts the magnetization at 0.00 μB per formula unit. For the uncorrected formation energy, the calculation gives -56 kJ per mole of atoms.



[16]
Crystalline Ag2PbSe at its relaxed geometry, computed with PBEsol.

```
Ag2PbSe
1.0
-3.4650 1.1603 0.9018
-1.1566 -0.5410 -3.7477
0.7915 -5.8305 2.6888
Pb Ag Se
1 2 1
Direct
0.5416 0.5416 0.0832 Pb
0.7633 0.2633 0.5267 Ag
0.9383 0.9383 0.8766 Ag
0.2568 0.7568 0.5135 Se
```

The calculation puts the magnetization at 0.00 μB per formula unit. For the uncorrected formation energy, the calculation gives 3 kJ per mole of atoms.



[17]
Crystalline CaGdPd2 at its relaxed geometry, computed with PBEsol.

```
CaGdPd2
1.0
-3.6096 -1.7290 -2.8284
-2.5414 -3.9462 1.4097
-4.6664 0.4700 1.4221
Pd Gd Ca
2 1 1
Direct
0.2500 0.2500 0.2500 Pd
0.7500 0.7500 0.7500 Pd
0.0000 0.0000 0.0000 Gd
0.5000 0.5000 0.5000 Ca
```

The calculation puts the magnetization at 7.18 μB per formula unit. Its formation energy is -722 meV/atom.



[18]
Crystalline MnCuSeN2 at its relaxed geometry, computed with PBEsol.

```
MnCuSeN2
1.0
3.5047 0.0000 0.0000
0.0000 3.5047 0.0000
0.0000 0.0000 5.2283
N Mn Cu Se
2 1 1 1
Direct
0.0000 0.5000 0.0000 N
0.5000 0.0000 0.0000 N
0.0000 0.0000 0.0000 Mn
0.5000 0.5000 0.5000 Cu
0.0000 0.0000 0.5000 Se
```

The calculation puts the magnetization at 0.00 μB per formula unit. For the uncorrected formation energy, the calculation gives 45 kJ per mole of atoms. The energy relative to the lowest polymorph listed for this composition is 0.0 meV/atom.



[19]
Crystalline KCrAs2 at its relaxed geometry, computed with PBEsol.

```
KCrAs2
1.0
3.0329 0.0000 0.0000
0.0000 5.3052 -0.1292
0.0000 -1.7003 5.0270
K Cr As
1 1 2
Direct
0.5000 0.0000 0.0000 K
0.5000 0.5000 0.5000 Cr
0.0000 0.0000 0.5000 As
0.0000 0.5000 0.0000 As
```

The calculation puts the magnetization at 4.08 μB per formula unit. The energy relative to the lowest polymorph listed for this composition is 28.2 meV/atom. Its formation energy is 392 meV/atom.



[20]
Crystalline La2ScMnGe at its relaxed geometry, computed with PBEsol.

```
La2ScMnGe
1.0
4.9004 0.0000 0.0000
0.0000 4.9415 0.0000
0.0000 0.0000 4.9415
Mn La Ge Sc
1 2 1 1
Direct
0.0000 0.0000 0.0000 Mn
0.0000 0.5000 0.0000 La
0.0000 0.0000 0.5000 La
0.5000 0.5000 0.5000 Ge
0.5000 0.0000 0.0000 Sc
```

The calculation puts the magnetization at 0.00 μB per formula unit. Its formation energy is -56 meV/atom.